[1]
This record from Alexandria via LeMat-Bulk describes BaMnP2 after structural relaxation. The functional is PBE.

Unit cell a=6.515 b=7.278 c=3.950 alpha=90.00 beta=90.00 gamma=90.00
Space group Cmmm (No. 65)
One atom of each set of equivalent atoms:
Ba: 0.000 0.000 0.000 x2
Mn: 0.000 0.500 0.000 x2
P: 0.250 0.250 0.500 x4

Results
energy of formation from the pure elements = 0.2027 eV per atom
relative energy among the computed polymorphs = 0.799 eV per atom
theoretical density = 4.51 g cm⁻³

[2]
This record from Alexandria via LeMat-Bulk describes Ba2MnP2 after structural relaxation. The functional is PBE.

Unit cell a=6.915 b=13.233 c=6.352 alpha=90.00 beta=90.00 gamma=90.00
Space group Ibam (No. 72)
One atom of each set of equivalent atoms:
Ba: 0.183 0.143 0.000 x8
Mn: 0.000 0.500 0.250 x4
P: 0.196 0.397 0.000 x8

Results
energy of formation from the pure elements = -0.7880 eV per atom
theoretical density = 4.47 g cm⁻³

[3]
This record from Alexandria via LeMat-Bulk describes BaMn2P after structural relaxation. The functional is PBE.

Unit cell a=4.958 b=4.958 c=16.132 alpha=90.00 beta=90.00 gamma=90.00
Space group I4_1/amd (No. 141, origin choice 2)
One atom of each set of equivalent atoms:
Ba: 0.000 0.250 0.375 x4
Mn: 0.000 0.000 0.000 x8
P: 0.000 0.250 0.875 x4

Results
energy of formation from the pure elements = 0.0451 eV per atom
theoretical density = 4.66 g cm⁻³

[4]
This record from Alexandria via LeMat-Bulk describes BaMnP2 after structural relaxation. The functional is PBE.

Unit cell a=4.139 b=6.487 c=7.355 alpha=90.00 beta=90.00 gamma=90.00
Space group Immm (No. 71)
One atom of each set of equivalent atoms:
Ba: 0.000 0.000 0.000 x2
Mn: 0.000 0.000 0.500 x2
P: 0.000 0.500 0.156 x4

Results
energy of formation from the pure elements = -0.4286 eV per atom
relative energy among the computed polymorphs = 0.167 eV per atom
theoretical density = 4.28 g cm⁻³

[5]
This record from Alexandria via LeMat-Bulk describes Ba2MnP after structural relaxation. The functional is PBE.

Unit cell a=3.646 b=3.646 c=9.538 alpha=90.00 beta=90.00 gamma=90.00
Space group P4mm (No. 99)
One atom of each set of equivalent atoms:
Ba: 0.000 0.000 0.000 x1
Ba: 0.500 0.500 0.417 x1
Mn: 0.000 0.000 0.687 x1
P: 0.500 0.500 0.746 x1

Results
energy of formation from the pure elements = 0.0027 eV per atom
theoretical density = 4.72 g cm⁻³

[6]
This record from Alexandria via LeMat-Bulk describes BaMnP2 after structural relaxation. The functional is PBE.

Unit cell a=3.9276 b=3.9276 c=19.2153 alpha=90.00 beta=90.00 gamma=120.00
Space group R-3m (No. 166, hexagonal axes)
One atom of each set of equivalent atoms:
Ba: 0.0000 0.0000 0.0000 x3
Mn: 0.0000 0.0000 0.5000 x3
P: 0.0000 0.0000 0.2184 x6

Results
energy of formation from the pure elements = -0.5279 eV per atom
relative energy among the computed polymorphs = 0.068 eV per atom
theoretical density = 4.93 g cm⁻³

[7]
This record from Alexandria via LeMat-Bulk describes BaMnP2 after structural relaxation. The functional is PBE.

Unit cell a=7.050 b=7.050 c=7.050 alpha=90.00 beta=90.00 gamma=90.00
Space group F-43m (No. 216)
One atom of each set of equivalent atoms:
Ba: 0.000 0.000 0.000 x4
Mn: 0.250 0.250 0.750 x4
P: 0.000 0.000 0.500 x4
P: 0.250 0.250 0.250 x4

Results
energy of formation from the pure elements = 0.4464 eV per atom
relative energy among the computed polymorphs = 1.042 eV per atom
theoretical density = 4.82 g cm⁻³

[8]
This record from Alexandria via LeMat-Bulk describes BaMnP3 after structural relaxation. The functional is PBE.

Unit cell a=4.636 b=4.636 c=4.636 alpha=90.00 beta=90.00 gamma=90.00
Space group Pm-3m (No. 221)
One atom of each set of equivalent atoms:
Ba: 0.000 0.000 0.000 x1
Mn: 0.500 0.500 0.500 x1
P: 0.000 0.500 0.500 x3

Results
energy of formation from the pure elements = -0.1183 eV per atom
relative energy among the computed polymorphs = 0.000 eV per atom
theoretical density = 4.75 g cm⁻³

[9]
This record from Alexandria via LeMat-Bulk describes BaMnP2 after structural relaxation. The functional is PBE.

Unit cell a=4.232 b=6.226 c=8.466 alpha=90.00 beta=90.00 gamma=90.00
Space group Imm2 (No. 44)
One atom of each set of equivalent atoms:
Ba: 0.000 0.000 0.000 x2
Mn: 0.000 0.500 0.965 x2
P: 0.000 0.000 0.384 x2
P: 0.000 0.500 0.211 x2

Results
energy of formation from the pure elements = -0.0987 eV per atom
relative energy among the computed polymorphs = 0.497 eV per atom
theoretical density = 3.78 g cm⁻³

[10]
This record from Alexandria via LeMat-Bulk describes BaMnP2 after structural relaxation. The functional is PBE.

Unit cell a=3.535 b=3.535 c=6.604 alpha=90.00 beta=90.00 gamma=90.00
Space group P4/mmm (No. 123)
One atom of each set of equivalent atoms:
Ba: 0.000 0.000 0.000 x1
Mn: 0.000 0.000 0.500 x1
P: 0.500 0.500 0.334 x2

Results
energy of formation from the pure elements = -0.2089 eV per atom
relative energy among the computed polymorphs = 0.387 eV per atom
theoretical density = 5.12 g cm⁻³

[11]
This record from Alexandria via LeMat-Bulk describes Ba2MnP after structural relaxation. The functional is PBE.

Unit cell a=4.069 b=4.069 c=7.917 alpha=90.00 beta=90.00 gamma=90.00
Space group P4/mmm (No. 123)
One atom of each set of equivalent atoms:
Ba: 0.000 0.000 0.213 x2
Mn: 0.500 0.500 0.500 x1
P: 0.500 0.500 0.000 x1

Results
energy of formation from the pure elements = -0.0809 eV per atom
theoretical density = 4.57 g cm⁻³

[12]
This record from Alexandria via LeMat-Bulk describes BaMnP2 after structural relaxation. The functional is PBE.

Unit cell a=3.611 b=3.611 c=7.470 alpha=90.00 beta=90.00 gamma=90.00
Space group P4mm (No. 99)
One atom of each set of equivalent atoms:
Ba: 0.000 0.000 0.000 x1
Mn: 0.500 0.500 0.478 x1
P: 0.000 0.000 0.434 x1
P: 0.500 0.500 0.774 x1

Results
energy of formation from the pure elements = -0.0646 eV per atom
relative energy among the computed polymorphs = 0.531 eV per atom
theoretical density = 4.33 g cm⁻³

[13]
This record from Alexandria via LeMat-Bulk describes BaMn2P after structural relaxation. The functional is PBE.

Unit cell a=4.448 b=4.448 c=9.470 alpha=90.00 beta=90.00 gamma=90.00
Space group I4/mmm (No. 139)
One atom of each set of equivalent atoms:
Ba: 0.000 0.000 0.000 x2
Mn: 0.000 0.500 0.250 x4
P: 0.000 0.000 0.500 x2

Results
energy of formation from the pure elements = 0.5972 eV per atom
theoretical density = 4.93 g cm⁻³

[14]
This record from Alexandria via LeMat-Bulk describes BaMnP3 after structural relaxation. The functional is PBE.

Unit cell a=5.644 b=5.644 c=5.644 alpha=90.00 beta=90.00 gamma=90.00
Space group Pm-3m (No. 221)
One atom of each set of equivalent atoms:
Ba: 0.000 0.000 0.000 x1
Mn: 0.500 0.500 0.500 x1
P: 0.000 0.000 0.500 x3

Results
energy of formation from the pure elements = 1.6881 eV per atom
relative energy among the computed polymorphs = 1.806 eV per atom
theoretical density = 2.63 g cm⁻³

[15]
This record from Alexandria via LeMat-Bulk describes BaMn2P after structural relaxation. The functional is PBE.

Unit cell a=5.036 b=4.008 c=5.098 alpha=90.00 beta=90.31 gamma=90.00
Space group P2/m (No. 10)
One atom of each set of equivalent atoms:
Ba: 0.000 0.000 0.000 x1
Mn: 0.498 0.500 0.745 x2
P: 0.500 0.000 0.500 x1

Results
energy of formation from the pure elements = 0.1089 eV per atom
theoretical density = 4.49 g cm⁻³

[16]
This record from Alexandria via LeMat-Bulk describes BaMnP2 after structural relaxation. The functional is PBE.

Unit cell a=3.9340 b=3.9340 c=6.5603 alpha=90.00 beta=90.00 gamma=120.00
Space group P-6m2 (No. 187)
One atom of each set of equivalent atoms:
Ba: 0.0000 0.0000 0.0000 x1
Mn: 0.6667 0.3333 0.5000 x1
P: 0.3333 0.6667 0.3341 x2

Results
energy of formation from the pure elements = -0.5433 eV per atom
relative energy among the computed polymorphs = 0.053 eV per atom
theoretical density = 4.80 g cm⁻³

[17]
This record from Alexandria via LeMat-Bulk describes BaMn2P after structural relaxation. The functional is PBE.

Unit cell a=3.430 b=5.760 c=9.407 alpha=90.00 beta=90.00 gamma=90.00
Space group Immm (No. 71)
One atom of each set of equivalent atoms:
Ba: 0.000 0.000 0.000 x2
Mn: 0.000 0.500 0.172 x4
P: 0.000 0.000 0.500 x2

Results
energy of formation from the pure elements = 0.2606 eV per atom
theoretical density = 4.97 g cm⁻³

[18]
This record from Alexandria via LeMat-Bulk describes Ba2MnP after structural relaxation. The functional is PBE.

Unit cell a=4.2904 b=4.2904 c=26.5108 alpha=90.00 beta=90.00 gamma=120.00
Space group R3m (No. 160, hexagonal axes)
One atom of each set of equivalent atoms:
Ba: 0.0000 0.0000 0.0000 x3
Ba: 0.0000 0.0000 0.1736 x3
Mn: 0.0000 0.0000 0.4200 x3
P: 0.0000 0.0000 0.7538 x3

Results
energy of formation from the pure elements = -0.3855 eV per atom
theoretical density = 4.25 g cm⁻³

[19]
This record from Alexandria via LeMat-Bulk describes BaMn2P after structural relaxation. The functional is PBE.

Unit cell a=6.205 b=10.476 c=3.265 alpha=90.00 beta=121.29 gamma=90.00
Space group C2/m (No. 12)
One atom of each set of equivalent atoms:
Ba: 0.000 0.000 0.000 x2
Mn: 0.250 0.250 0.500 x4
P: 0.000 0.500 0.000 x2

Results
energy of formation from the pure elements = 0.6651 eV per atom
theoretical density = 5.09 g cm⁻³

[20]
This record from Alexandria via LeMat-Bulk describes Ba4MnP after structural relaxation. The functional is PBE.

Unit cell a=10.005 b=10.005 c=10.005 alpha=90.00 beta=90.00 gamma=90.00
Space group F-43m (No. 216)
One atom of each set of equivalent atoms:
Ba: 0.124 0.124 0.376 x16
Mn: 0.000 0.000 0.000 x4
P: 0.250 0.250 0.750 x4

Results
energy of formation from the pure elements = 0.7604 eV per atom
theoretical density = 4.21 g cm⁻³

[21]
This record from Alexandria via LeMat-Bulk describes BaMn3P after structural relaxation. The functional is PBE.

Unit cell a=5.087 b=5.087 c=5.087 alpha=90.00 beta=90.00 gamma=90.00
Space group Pm-3m (No. 221)
One atom of each set of equivalent atoms:
Ba: 0.000 0.000 0.000 x1
Mn: 0.000 0.000 0.500 x3
P: 0.500 0.500 0.500 x1

Results
energy of formation from the pure elements = 2.2619 eV per atom
relative energy among the computed polymorphs = 1.996 eV per atom
theoretical density = 4.20 g cm⁻³

[22]
This record from Alexandria via LeMat-Bulk describes BaMnPPb after structural relaxation. The functional is PBE.

Unit cell a=4.178 b=4.178 c=11.920 alpha=90.00 beta=90.00 gamma=90.00
Space group P4/nmm (No. 129, origin choice 2)
One atom of each set of equivalent atoms:
Ba: 0.250 0.250 0.228 x2
Mn: 0.250 0.750 0.000 x2
P: 0.250 0.250 0.918 x2
Pb: 0.250 0.750 0.500 x2

Results
energy of formation from the pure elements = -0.4417 eV per atom
theoretical density = 6.87 g cm⁻³

[23]
This record from Alexandria via LeMat-Bulk describes Ba2MnReP after structural relaxation. The functional is PBE.

Unit cell a=6.048 b=6.048 c=4.267 alpha=90.00 beta=90.00 gamma=90.00
Space group P4/mmm (No. 123)
One atom of each set of equivalent atoms:
Ba: 0.000 0.500 0.000 x2
Mn: 0.000 0.000 0.000 x1
Re: 0.500 0.500 0.500 x1
P: 0.000 0.000 0.500 x1

Results
energy of formation from the pure elements = 0.9388 eV per atom
theoretical density = 5.82 g cm⁻³

[24]
This record from Alexandria via LeMat-Bulk describes BaMnP2S after structural relaxation. The functional is PBE.

Unit cell a=4.377 b=4.377 c=5.557 alpha=90.00 beta=90.00 gamma=90.00
Space group P4/mmm (No. 123)
One atom of each set of equivalent atoms:
Ba: 0.000 0.000 0.000 x1
Mn: 0.500 0.500 0.500 x1
P: 0.000 0.500 0.500 x2
S: 0.500 0.500 0.000 x1

Results
formation energy from raw total energies = -0.48 eV per atom
relative energy among the computed polymorphs = 0.000 eV per atom
theoretical density = 4.46 g cm⁻³

[25]
This record from Alexandria via LeMat-Bulk describes BaMnP2S after structural relaxation. The functional is PBE.

Unit cell a=5.578 b=5.578 c=5.643 alpha=90.00 beta=90.00 gamma=90.00
Space group P4/mmm (No. 123)
One atom of each set of equivalent atoms:
Ba: 0.000 0.000 0.000 x1
Mn: 0.500 0.500 0.500 x1
P: 0.000 0.500 0.000 x2
S: 0.000 0.000 0.500 x1

Results
formation energy from raw total energies = 1.36 eV per atom
relative energy among the computed polymorphs = 1.839 eV per atom
theoretical density = 2.71 g cm⁻³

[26]
This record from Alexandria via LeMat-Bulk describes Ba2TaMnP after structural relaxation. The functional is PBE.

Unit cell a=6.172 b=6.172 c=4.208 alpha=90.00 beta=90.00 gamma=90.00
Space group P4/mmm (No. 123)
One atom of each set of equivalent atoms:
Ba: 0.000 0.500 0.000 x2
Ta: 0.000 0.000 0.500 x1
Mn: 0.500 0.500 0.500 x1
P: 0.500 0.500 0.000 x1

Results
energy of formation from the pure elements = 0.9469 eV per atom
theoretical density = 5.61 g cm⁻³

[27]
This record from Alexandria via LeMat-Bulk describes Ba2MnTcP after structural relaxation. The functional is PBE.

Unit cell a=5.953 b=5.953 c=4.346 alpha=90.00 beta=90.00 gamma=90.00
Space group P4/mmm (No. 123)
One atom of each set of equivalent atoms:
Ba: 0.000 0.500 0.000 x2
Mn: 0.000 0.000 0.500 x1
Tc: 0.000 0.000 0.000 x1
P: 0.500 0.500 0.500 x1

Results
energy of formation from the pure elements = 0.7421 eV per atom
theoretical density = 4.94 g cm⁻³

[28]
This record from Alexandria via LeMat-Bulk describes BaPa2MnS8 after structural relaxation. The functional is PBE.

Unit cell a=6.200 b=8.331 c=6.474 alpha=90.00 beta=97.10 gamma=90.00
Space group P2/m (No. 10)
One atom of each set of equivalent atoms:
Ba: 0.000 0.000 0.000 x1
Pa: 0.500 0.256 0.500 x2
Mn: 0.000 0.500 0.000 x1
S: 0.229 0.309 0.166 x4
S: 0.286 0.500 0.646 x2
S: 0.297 0.000 0.635 x2

Results
formation energy from raw total energies = -1.21 eV per atom
theoretical density = 4.56 g cm⁻³